# 1
A plane-wave DFT calculation with PBE-GGA was carried out for a geometry-optimized AcZn2PN4 structure. Values from VASP.

## Properties
Formation energy (no corrections)   -5.04 eV/f.u.

Geometry as Quantum ESPRESSO input:
```
&SYSTEM
  ibrav = 0, nat = 8, ntyp = 4
/
ATOMIC_SPECIES
Zn 65.41 Zn.upf
N 14.01 N.upf
Ac 227.00 Ac.upf
P 30.97 P.upf
CELL_PARAMETERS angstrom
5.3466 0.0000 0.0000
2.6733 4.3714 -0.8762
2.6733 -0.3867 4.4415
ATOMIC_POSITIONS crystal
Zn 0.5000 0.2500 0.7500
Zn 0.5000 0.7500 0.2500
N 0.6369 0.5472 0.8158
N 0.0000 0.8158 0.5472
N 0.3631 0.1842 0.4528
N 0.0000 0.4528 0.1842
Ac 0.0000 0.0000 0.0000
P 0.0000 0.5000 0.5000
```

***

# 2
A plane-wave DFT calculation with PBE-GGA was carried out for a geometry-optimized Ac2ZnP2N6 structure. Values from VASP.

## Properties
Formation energy (no corrections)   -5.41 eV/f.u.

Geometry as Quantum ESPRESSO input:
```
&SYSTEM
  ibrav = 0, nat = 11, ntyp = 4
/
ATOMIC_SPECIES
N 14.01 N.upf
Zn 65.41 Zn.upf
P 30.97 P.upf
Ac 227.00 Ac.upf
CELL_PARAMETERS angstrom
-3.7646 2.2819 -3.6240
-1.7845 -3.4856 4.1447
-0.6996 4.8653 3.7904
ATOMIC_POSITIONS crystal
N 0.7740 0.1252 0.2190
N 0.2260 0.8748 0.7810
N 0.8748 0.6488 0.2190
N 0.1252 0.3512 0.7810
N 0.6488 0.7740 0.7810
N 0.3512 0.2260 0.2190
Zn 0.0000 0.0000 0.0000
P 0.6667 0.3333 0.2174
P 0.3333 0.6667 0.7826
Ac 0.6667 0.3333 0.7296
Ac 0.3333 0.6667 0.2704
```

***

# 3
A plane-wave DFT calculation with PBE-GGA was carried out for a geometry-optimized AcPa3N6 structure. Values from VASP.

## Properties
Formation energy (no corrections)   -16.26 eV/f.u.

Geometry as Quantum ESPRESSO input:
```
&SYSTEM
  ibrav = 0, nat = 20, ntyp = 3
/
ATOMIC_SPECIES
Pa 231.04 Pa.upf
N 14.01 N.upf
Ac 227.00 Ac.upf
CELL_PARAMETERS angstrom
-2.2253 2.8591 0.0904
-3.0034 -2.0594 -8.7949
-5.7482 -4.6591 5.8504
ATOMIC_POSITIONS crystal
Pa 0.2500 0.4787 0.3209
Pa 0.7500 0.5213 0.6791
Pa 0.7500 0.0859 0.1705
Pa 0.2500 0.1767 0.5245
Pa 0.2500 0.9141 0.8295
Pa 0.7500 0.8233 0.4755
N 0.2500 0.5634 0.8653
N 0.7500 0.5811 0.4530
N 0.2500 0.2174 0.2702
N 0.7500 0.7826 0.7298
N 0.2500 0.4189 0.5470
N 0.2500 0.9224 0.0715
N 0.7500 0.4366 0.1347
N 0.7500 0.0776 0.9285
N 0.2500 0.7219 0.3150
N 0.7500 0.2781 0.6850
N 0.2500 0.9545 0.5998
N 0.7500 0.0455 0.4002
Ac 0.2500 0.3078 0.9239
Ac 0.7500 0.6922 0.0761
```

***

# 4
A plane-wave DFT calculation with PBE-GGA was carried out for a geometry-optimized AcPa7N12 structure. Values from VASP.

## Properties
Formation energy (no corrections)   -30.30 eV/f.u.

Geometry as Quantum ESPRESSO input:
```
&SYSTEM
  ibrav = 0, nat = 20, ntyp = 3
/
ATOMIC_SPECIES
N 14.01 N.upf
Pa 231.04 Pa.upf
Ac 227.00 Ac.upf
CELL_PARAMETERS angstrom
7.4404 0.0000 0.0000
-2.4801 7.0149 0.0000
-2.4801 -3.5075 6.0751
ATOMIC_POSITIONS crystal
N 0.8194 0.5088 0.6895
N 0.3105 0.8194 0.1299
N 0.6895 0.1806 0.8701
N 0.1806 0.4912 0.3105
N 0.1806 0.8701 0.6895
N 0.1299 0.3105 0.8194
N 0.8701 0.6895 0.1806
N 0.6895 0.8194 0.5088
N 0.5088 0.6895 0.8194
N 0.3105 0.1806 0.4912
N 0.4912 0.3105 0.1806
N 0.8194 0.1299 0.3105
Pa 0.0000 0.5000 0.5000
Pa 0.5000 0.5000 0.0000
Pa 0.0000 0.0000 0.5000
Pa 0.5000 0.0000 0.0000
Pa 0.5000 0.0000 0.5000
Pa 0.5000 0.5000 0.5000
Pa 0.0000 0.5000 0.0000
Ac 0.0000 0.0000 0.0000
```

***

# 5
A plane-wave DFT calculation with PBE-GGA was carried out for a geometry-optimized Ac5PaN6 structure. Values from VASP.

## Properties
Formation energy (no corrections)   -14.68 eV/f.u.

Geometry as Quantum ESPRESSO input:
```
&SYSTEM
  ibrav = 0, nat = 12, ntyp = 3
/
ATOMIC_SPECIES
N 14.01 N.upf
Ac 227.00 Ac.upf
Pa 231.04 Pa.upf
CELL_PARAMETERS angstrom
-4.0552 4.5568 -2.5102
-2.3414 -2.1198 -5.8351
-5.6198 -3.5395 -0.2315
ATOMIC_POSITIONS crystal
N 0.2195 0.9257 0.7126
N 0.2353 0.2180 0.0000
N 0.7805 0.3617 0.7126
N 0.7805 0.0743 0.2874
N 0.7647 0.7820 0.0000
N 0.2195 0.6383 0.2874
Ac 0.5000 0.8367 0.3266
Ac 0.5000 0.1633 0.6734
Ac 0.0000 0.6672 0.6656
Ac 0.5000 0.5000 0.0000
Ac 0.0000 0.3328 0.3344
Pa 0.0000 0.0000 0.0000
```

***

# 6
A plane-wave DFT calculation with PBE-GGA was carried out for a geometry-optimized AcPaN4 structure. Values from VASP.

## Properties
Formation energy (no corrections)   -4.98 eV/f.u.

Geometry as Quantum ESPRESSO input:
```
&SYSTEM
  ibrav = 0, nat = 6, ntyp = 3
/
ATOMIC_SPECIES
N 14.01 N.upf
Ac 227.00 Ac.upf
Pa 231.04 Pa.upf
CELL_PARAMETERS angstrom
4.5155 0.0000 0.0000
0.0000 4.5155 0.0000
0.0000 0.0000 4.6099
ATOMIC_POSITIONS crystal
N 0.0000 0.5000 0.6591
N 0.0000 0.5000 0.3409
N 0.5000 0.0000 0.6591
N 0.5000 0.0000 0.3409
Ac 0.0000 0.0000 0.0000
Pa 0.5000 0.5000 0.5000
```

***

# 7
A plane-wave DFT calculation with PBE-GGA was carried out for a geometry-optimized AcPaN2 structure. Values from VASP.

## Properties
Formation energy (no corrections)   -5.74 eV/f.u.
Excess energy over the best structure of this formula in the dataset   0 meV per atom

Geometry as Quantum ESPRESSO input:
```
&SYSTEM
  ibrav = 0, nat = 4, ntyp = 3
/
ATOMIC_SPECIES
Ac 227.00 Ac.upf
Pa 231.04 Pa.upf
N 14.01 N.upf
CELL_PARAMETERS angstrom
3.6480 0.0000 0.0000
1.8240 3.1593 0.0000
1.8240 1.0531 6.1304
ATOMIC_POSITIONS crystal
Ac 0.5000 0.5000 0.5000
Pa 0.0000 0.0000 0.0000
N 0.2721 0.2721 0.1838
N 0.7279 0.7279 0.8162
```

***

# 8
A plane-wave DFT calculation with PBE-GGA was carried out for a geometry-optimized Ac6PaN8 structure. Values from VASP.

## Properties
Formation energy (no corrections)   -16.43 eV/f.u.

Geometry as Quantum ESPRESSO input:
```
&SYSTEM
  ibrav = 0, nat = 15, ntyp = 3
/
ATOMIC_SPECIES
Ac 227.00 Ac.upf
N 14.01 N.upf
Pa 231.04 Pa.upf
CELL_PARAMETERS angstrom
6.6357 0.0000 3.8311
2.2119 6.2562 3.8311
0.0000 0.0000 7.6622
ATOMIC_POSITIONS crystal
Ac 0.0000 0.0000 0.5000
Ac 0.5000 0.0000 0.5000
Ac 0.5000 0.5000 0.0000
Ac 0.0000 0.5000 0.5000
Ac 0.0000 0.5000 0.0000
Ac 0.5000 0.0000 0.0000
N 0.7872 0.7872 0.2128
N 0.2128 0.7872 0.2128
N 0.7872 0.2128 0.7872
N 0.7872 0.2128 0.2128
N 0.2128 0.7872 0.7872
N 0.2128 0.2128 0.7872
N 0.2500 0.2500 0.2500
N 0.7500 0.7500 0.7500
Pa 0.0000 0.0000 0.0000
```

***

# 9
A plane-wave DFT calculation with PBE-GGA was carried out for a geometry-optimized AcPaN2 structure. Values from VASP.

## Properties
Formation energy (no corrections)   -4.95 eV/f.u.
Excess energy over the best structure of this formula in the dataset   199 meV per atom

Geometry as Quantum ESPRESSO input:
```
&SYSTEM
  ibrav = 0, nat = 4, ntyp = 3
/
ATOMIC_SPECIES
Ac 227.00 Ac.upf
N 14.01 N.upf
Pa 231.04 Pa.upf
CELL_PARAMETERS angstrom
3.6150 0.0000 0.0000
1.8075 3.1307 0.0000
1.8075 1.0436 6.4496
ATOMIC_POSITIONS crystal
Ac 0.4914 0.4914 0.5259
N 0.0626 0.0626 0.8123
N 0.2769 0.2769 0.1694
Pa 0.6692 0.6692 0.9924
```

***

# 10
A plane-wave DFT calculation with PBE-GGA was carried out for a geometry-optimized Ac2PaN structure. Values from VASP.

## Properties
Formation energy (no corrections)   -0.13 eV/f.u.

Geometry as Quantum ESPRESSO input:
```
&SYSTEM
  ibrav = 0, nat = 4, ntyp = 3
/
ATOMIC_SPECIES
Ac 227.00 Ac.upf
N 14.01 N.upf
Pa 231.04 Pa.upf
CELL_PARAMETERS angstrom
3.5785 0.0000 0.0000
1.7892 3.0991 0.0000
1.7892 1.0330 10.2194
ATOMIC_POSITIONS crystal
Ac 0.1147 0.1147 0.6558
Ac 0.8853 0.8853 0.3442
N 0.5000 0.5000 0.5000
Pa 0.0000 0.0000 0.0000
```

***

Look up the formation energy (no corrections) of the second one.
-5.41 eV/f.u.

***

formation energy (no corrections) of number 3 (AcPa3N6)?
-16.26 eV/f.u.